The following is a DFT calculation (meta-GGA SCAN) of a crystal of Ca2ZnGe relaxed with PBEsol.

Cell lengths 5.066, 5.066, 5.066 Å; angles 60.00, 60.00, 60.00 degrees
Element x y z (fractional)
1 Ca 0.250 0.250 0.250
2 Ca 0.750 0.750 0.750
3 Ge 0.500 0.500 0.500
4 Zn 0.000 0.000 0.000

## Properties
The value obtained for the total magnetization is 0.00 μB/atom. Its symmetry is Fm-3m (225). The total energy comes out at -53.91 eV/f.u. The density of states at the Fermi level is 0.7 states/eV/f.u.